a) ## CdAgTeI2 (PBE-GGA)

Data for a relaxed CdAgTeI2 crystal.

* M_tot: 0.000 μB/f.u.
* N(E_F): 4.4 states/eV/cell

abc: 5.5815 5.5815 5.7215
angles: 90.00 90.00 90.00
Last column: nearest neighbours and their distance in Å.
Atoms (fractional coordinates):
Cd (0.5000, 0.5000, 0.5000)  4 Te 3.95, 8 I 4.00
Te (0.0000, 0.0000, 0.5000)  2 Ag 2.86
I (0.0000, 0.5000, 0.0000)  2 Ag 2.79
I (0.5000, 0.0000, 0.0000)  2 Ag 2.79
Ag (0.0000, 0.0000, 0.0000)  4 I 2.79, 2 Te 2.86

---

b) ## CdAgTeI2 (PBE-GGA)

Data for a relaxed CdAgTeI2 crystal.

* M_tot: 0.005 μB/f.u.
* N(E_F): 5.5 states/eV/cell

abc: 5.8918 5.8918 5.6624
angles: 90.00 90.00 90.00
Last column: nearest neighbours and their distance in Å.
Atoms (fractional coordinates):
Cd (0.0000, 0.0000, 0.0000)  2 Te 2.83, 4 I 2.95
Te (0.0000, 0.0000, 0.5000)  2 Cd 2.83
I (0.5000, 0.0000, 0.0000)  2 Cd 2.95
Ag (0.5000, 0.5000, 0.5000)  8 I 4.09, 4 Te 4.17
I (0.0000, 0.5000, 0.0000)  2 Cd 2.95

---

It is a) that is the most stable of them.

---

a) ## Cd6InAg (PBE-GGA)

Data for a relaxed Cd6InAg crystal.

* M_tot: 0.000 μB/f.u.
* N(E_F): 4.0 states/eV/cell

abc: 4.4569 4.4569 8.9841
angles: 90.00 90.00 90.00
Last column: nearest neighbours and their distance in Å.
Atoms (fractional coordinates):
Ag (0.0000, 0.0000, 0.5000)  12 Cd 3.07-3.15
Cd (0.5000, 0.0000, 0.7355)  2 Ag 3.07, 8 Cd 3.07-3.26, 2 In 3.26
In (0.0000, 0.0000, 0.0000)  12 Cd 3.15-3.26
Cd (0.5000, 0.5000, 0.0000)  4 In 3.15, 8 Cd 3.26
Cd (0.5000, 0.0000, 0.2645)  2 Ag 3.07, 8 Cd 3.07-3.26, 2 In 3.26
Cd (0.0000, 0.5000, 0.7355)  8 Cd 3.07-3.26, 2 Ag 3.07, 2 In 3.26
Cd (0.0000, 0.5000, 0.2645)  8 Cd 3.07-3.26, 2 Ag 3.07, 2 In 3.26
Cd (0.5000, 0.5000, 0.5000)  8 Cd 3.07, 4 Ag 3.15

---

b) ## Cd6InAg (PBE-GGA)

Data for a relaxed Cd6InAg crystal.

* M_tot: 0.000 μB/f.u.
* N(E_F): 2.5 states/eV/cell

abc: 4.3900 8.9918 6.3658
angles: 134.93 90.00 90.00
Last column: nearest neighbours and their distance in Å.
Atoms (fractional coordinates):
Cd (0.5000, 0.6209, 0.7513)  8 Cd 3.11-3.23, 2 Ag 3.13-3.24, 2 In 3.17
Cd (0.0000, 0.3782, 0.2487)  8 Cd 3.11-3.25, 2 In 3.11-3.25, 2 Ag 3.12
Cd (0.5000, 0.1304, 0.7513)  8 Cd 3.11-3.23, 2 Ag 3.13-3.24, 2 In 3.17
Ag (0.5000, 0.6221, 0.2443)  10 Cd 3.09-3.24, 2 In 3.12
Cd (0.0000, 0.8705, 0.2487)  8 Cd 3.11-3.25, 2 In 3.11-3.25, 2 Ag 3.12
Cd (0.0000, 0.3814, 0.7628)  2 Ag 3.09, 10 Cd 3.11-3.25
Cd (0.5000, 0.1290, 0.2581)  10 Cd 3.13-3.23, 2 In 3.22
In (0.0000, 0.8675, 0.7349)  10 Cd 3.11-3.25, 2 Ag 3.12

---

It is b) that is the most stable of them.